VASP calculation (PBE) on crystalline RbBaNa2Zn at its relaxed geometry.

Properties
DFT total energy   -1.27 eV per atom

Cell lengths 6.2359, 6.2359, 6.3273 Å; angles 90.00, 90.00, 90.00 degrees
Atoms (fractional coordinates):
Rb 0.0000 0.0000 0.0000
Ba 0.5000 0.5000 0.0000
Na 0.0000 0.5000 0.5000
Na 0.5000 0.0000 0.5000
Zn 0.5000 0.5000 0.5000

---

VASP calculation (PBE) on crystalline CuB2F at its relaxed geometry.

Properties
Formation energy from raw total energies   0.895 eV per atom
Relative energy among the computed polymorphs   0.0000 eV per atom

Cell lengths 4.7906, 4.7906, 8.2708 Å; angles 90.00, 90.00, 90.00 degrees
Atoms (fractional coordinates):
Cu 0.0000 0.0000 0.0000
Cu 0.0000 0.5000 0.2500
Cu 0.5000 0.0000 0.7500
Cu 0.5000 0.5000 0.5000
B 0.2405 0.2500 0.1250
B 0.2500 0.7405 0.3750
B 0.2500 0.7595 0.8750
B 0.2595 0.2500 0.6250
B 0.7405 0.7500 0.6250
B 0.7500 0.2405 0.8750
B 0.7500 0.2595 0.3750
B 0.7595 0.7500 0.1250
F 0.0000 0.0000 0.5000
F 0.0000 0.5000 0.7500
F 0.5000 0.0000 0.2500
F 0.5000 0.5000 0.0000

---

VASP calculation (PBE) on crystalline K2Ca2MgS4O18 at its relaxed geometry.

Properties
Formation energy from raw total energies   -1.706 eV per atom

Cell lengths 6.7479, 7.0926, 9.1818 Å; angles 108.56, 99.14, 101.08 degrees
Atoms (fractional coordinates):
K 0.1776 0.3415 0.3709
K 0.8224 0.6585 0.6291
Ca 0.4151 0.1220 0.7230
Ca 0.5849 0.8780 0.2770
Mg 0.0000 0.5000 0.0000
S 0.1289 0.8386 0.3473
S 0.3917 0.6545 0.8381
S 0.6083 0.3455 0.1619
S 0.8711 0.1614 0.6527
O 0.0556 0.0986 0.7112
O 0.0913 0.7174 0.4478
O 0.1618 0.2965 0.0603
O 0.1782 0.6059 0.8624
O 0.2023 0.7176 0.2061
O 0.3079 0.0258 0.4357
O 0.4221 0.8231 0.7765
O 0.4333 0.4709 0.7262
O 0.4620 0.2817 0.0014
O 0.5380 0.7183 0.9986
O 0.5667 0.5291 0.2738
O 0.5779 0.1769 0.2235
O 0.6921 0.9742 0.5643
O 0.7977 0.2824 0.7939
O 0.8218 0.3941 0.1376
O 0.8382 0.7035 0.9397
O 0.9087 0.2826 0.5522
O 0.9444 0.9014 0.2888

---

Table of ρ (g/cm3), in record order: 2.3, 3.6, 2.5